# 1
Np3US4: relaxed, PBE.

Unit cell a=3.8644 b=6.7541 c=6.7541 alpha=109.27 beta=90.00 gamma=90.00
With the nearest neighbours (Å) after each atom.
Fractional coordinates of all 8 atoms:
1 Np 0.5000 0.5000 0.5000  6 S 2.76-2.78
2 U 0.5000 0.0000 0.0000  6 S 2.73-2.74
3 Np 0.0000 0.5000 0.0000  6 S 2.75
4 S 0.5000 0.7526 0.2474  1 U 2.73, 5 Np 2.75-2.78
5 Np 0.0000 0.0000 0.5000  6 S 2.75
6 S 0.0000 0.7517 0.7517  2 U 2.74, 4 Np 2.75-2.76
7 S 0.0000 0.2483 0.2483  2 U 2.74, 4 Np 2.75-2.76
8 S 0.5000 0.2474 0.7526  1 U 2.73, 5 Np 2.75-2.78

## Properties
formation energy (no corrections): -1.351 eV per atom
electronic total energy: -9.679 eV per atom
crystal system: orthorhombic
polymorph energy (0 for the lowest one): 7 meV/atom

=====

# 2
Pr4Sm2Dy3: relaxed, PBE.

Unit cell a=6.2604 b=11.4641 c=11.4641 alpha=62.35 beta=62.21 gamma=62.21
With the nearest neighbours (Å) after each atom.
Fractional coordinates of all 18 atoms:
1 Pr 0.5802 0.4267 0.1457  1 Pr 3.37, 4 Dy 3.48-3.56, 3 Sm 3.50-3.66
2 Pr 0.9181 0.1884 0.9076  1 Sm 3.38, 4 Dy 3.48-3.58, 3 Pr 3.51-3.69
3 Sm 0.9170 0.5203 0.2442  4 Pr 3.38-3.66, 4 Dy 3.43-3.57
4 Sm 0.0830 0.4797 0.7558  4 Pr 3.38-3.66, 4 Dy 3.43-3.57
5 Dy 0.2500 0.6001 0.3999  4 Sm 3.43-3.53, 4 Pr 3.54-3.56
6 Dy 0.7447 0.0659 0.2689  7 Pr 3.48-3.89, 2 Sm 3.55-3.57
7 Sm 0.4170 0.2442 0.5203  4 Pr 3.38-3.66, 4 Dy 3.43-3.57
8 Sm 0.5830 0.7558 0.4797  4 Pr 3.38-3.66, 4 Dy 3.43-3.57
9 Pr 0.0802 0.1457 0.4267  1 Pr 3.37, 4 Dy 3.48-3.56, 3 Sm 3.50-3.66
10 Pr 0.9198 0.8543 0.5733  1 Pr 3.37, 4 Dy 3.48-3.56, 3 Sm 3.50-3.66
11 Pr 0.4198 0.5733 0.8543  1 Pr 3.37, 4 Dy 3.48-3.56, 3 Sm 3.50-3.66
12 Dy 0.2447 0.2689 0.0659  7 Pr 3.48-3.89, 2 Sm 3.55-3.57
13 Dy 0.2553 0.9341 0.7311  7 Pr 3.48-3.89, 2 Sm 3.55-3.57
14 Dy 0.7553 0.7311 0.9341  7 Pr 3.48-3.89, 2 Sm 3.55-3.57
15 Pr 0.4181 0.9076 0.1884  1 Sm 3.38, 4 Dy 3.48-3.58, 3 Pr 3.51-3.69
16 Pr 0.5819 0.0924 0.8116  1 Sm 3.38, 4 Dy 3.48-3.58, 3 Pr 3.51-3.69
17 Dy 0.7500 0.3999 0.6001  4 Sm 3.43-3.53, 4 Pr 3.54-3.56
18 Pr 0.0819 0.8116 0.0924  1 Sm 3.38, 4 Dy 3.48-3.58, 3 Pr 3.51-3.69

## Properties
electronic total energy: -4.624 eV per atom
ΔE_f: 0.083 eV/atom
crystal system: monoclinic
polymorph energy (0 for the lowest one): 68 meV/atom

=====

# 3
KOs: relaxed, PBE.

Unit cell a=12.5392 b=12.5392 c=4.0691 alpha=90.00 beta=90.00 gamma=90.00
With the nearest neighbours (Å) after each atom.
Fractional coordinates of all 16 atoms:
1 K 0.2643 0.0000 0.5000  6 Os 3.46-3.53
2 Os 0.2189 0.7811 0.0000  2 Os 2.31
3 Os 0.7189 0.2811 0.5000  2 Os 2.31
4 K 0.7357 0.0000 0.5000  6 Os 3.46-3.53
5 K 0.7643 0.5000 0.0000  6 Os 3.46-3.53
6 K 0.5000 0.7643 0.0000  6 Os 3.46-3.53
7 K 0.0000 0.7357 0.5000  6 Os 3.46-3.53
8 Os 0.2811 0.2811 0.5000  2 Os 2.31
9 Os 0.7189 0.7189 0.5000  2 Os 2.31
10 K 0.2357 0.5000 0.0000  6 Os 3.46-3.53
11 Os 0.7811 0.2189 0.0000  2 Os 2.31
12 Os 0.2189 0.2189 0.0000  2 Os 2.31
13 Os 0.2811 0.7189 0.5000  2 Os 2.31
14 Os 0.7811 0.7811 0.0000  2 Os 2.31
15 K 0.0000 0.2643 0.5000  6 Os 3.46-3.53
16 K 0.5000 0.2357 0.0000  6 Os 3.46-3.53

## Properties
electronic total energy: -4.970 eV per atom
ΔE_f: 1.194 eV/atom
crystal system: tetragonal
polymorph energy (0 for the lowest one): 495 meV/atom

=====

# 4
AlTlGe2S6: relaxed, PBE.

Unit cell a=6.8655 b=9.3893 c=9.3893 alpha=94.35 beta=74.82 gamma=74.82
With the nearest neighbours (Å) after each atom.
Fractional coordinates of all 20 atoms:
1 S 0.5700 0.1841 0.6167  1 Al 2.24, 1 Ge 2.25
2 S 0.7325 0.7943 0.9775  1 Ge 2.24, 1 Al 2.34
3 Ge 0.1463 0.3793 0.2273  4 S 2.24-2.33
4 Ge 0.8537 0.6207 0.7727  4 S 2.24-2.33
5 Al 0.7500 0.7786 0.2214  4 S 2.24-2.34
6 Tl 0.2500 0.8914 0.1086  6 S 3.07-3.19
7 S 0.9300 0.3833 0.8159  1 Al 2.24, 1 Ge 2.25
8 Ge 0.3537 0.7727 0.6207  4 S 2.24-2.33
9 S 0.7675 0.0225 0.2057  1 Ge 2.24, 1 Al 2.34
10 S 0.9314 0.3039 0.4106  2 Ge 2.25-2.33
11 S 0.4314 0.4106 0.3039  2 Ge 2.25-2.33
12 S 0.4300 0.8159 0.3833  1 Al 2.24, 1 Ge 2.25
13 S 0.0686 0.6961 0.5894  2 Ge 2.25-2.33
14 S 0.5686 0.5894 0.6961  2 Ge 2.25-2.33
15 S 0.2675 0.2057 0.0225  1 Ge 2.24, 1 Al 2.34
16 Ge 0.6463 0.2273 0.3793  4 S 2.24-2.33
17 S 0.0700 0.6167 0.1841  1 Al 2.24, 1 Ge 2.25
18 Al 0.2500 0.2214 0.7786  4 S 2.24-2.34
19 Tl 0.7500 0.1086 0.8914  6 S 3.07-3.19
20 S 0.2325 0.9775 0.7943  1 Ge 2.24, 1 Al 2.34

## Properties
formation energy (no corrections): -0.397 eV per atom
electronic total energy: -4.408 eV per atom
crystal system: monoclinic

=====

# 5
Na2SrUSe6: relaxed, PBE.

Unit cell a=7.8305 b=8.1571 c=9.1664 alpha=90.00 beta=93.74 gamma=90.00
With the nearest neighbours (Å) after each atom.
Fractional coordinates of all 20 atoms:
1 Se 0.8045 0.7746 0.8801  1 Se 2.52
2 U 0.0000 0.5000 0.0000  6 Se 2.71-2.89
3 Sr 0.5000 0.0000 0.0000  6 Se 3.06-3.26
4 Se 0.3115 0.8842 0.7158  1 U 2.71, 2 Na 2.93-2.99
5 Se 0.7214 0.2910 0.8948  1 Se 2.52
6 Na 0.5046 0.5682 0.7505  6 Se 2.93-3.17
7 Se 0.7786 0.7910 0.6052  1 Se 2.52
8 Se 0.6885 0.1158 0.2842  1 U 2.71, 2 Na 2.93-2.99
9 Se 0.1955 0.2254 0.1199  1 Se 2.52
10 Se 0.3045 0.7254 0.3801  1 Se 2.52
11 Se 0.2214 0.2090 0.3948  1 Se 2.52
12 Se 0.1885 0.3842 0.7842  1 U 2.71, 2 Na 2.93-2.99
13 Na 0.4954 0.4318 0.2495  6 Se 2.93-3.17
14 Sr 0.0000 0.5000 0.5000  6 Se 3.06-3.26
15 Na 0.9954 0.0682 0.7495  6 Se 2.93-3.17
16 U 0.5000 0.0000 0.5000  6 Se 2.71-2.89
17 Se 0.6955 0.2746 0.6199  1 Se 2.52
18 Se 0.8115 0.6158 0.2158  1 U 2.71, 2 Na 2.93-2.99
19 Na 0.0046 0.9318 0.2505  6 Se 2.93-3.17
20 Se 0.2786 0.7090 0.1052  1 Se 2.52

## Properties
formation energy (no corrections): -1.024 eV per atom
electronic total energy: -4.675 eV per atom
crystal system: monoclinic

=====

# 6
CeNdGe2: relaxed, PBE.

Unit cell a=4.0721 b=5.9569 c=8.2561 alpha=90.00 beta=90.00 gamma=90.00
With the nearest neighbours (Å) after each atom.
Fractional coordinates of all 8 atoms:
1 Ge 0.5000 0.1145 0.9615  2 Ge 2.70
2 Ge 0.0000 0.6089 0.5386  2 Ge 2.70
3 Ge 0.5000 0.8855 0.4615  2 Ge 2.70
4 Ge 0.0000 0.3911 0.0386  2 Ge 2.70
5 Ce 0.5000 0.6327 0.8181  7 Ge 3.08-3.31
6 Nd 0.0000 0.8700 0.1818  7 Ge 3.08-3.33
7 Nd 0.0000 0.1300 0.6818  7 Ge 3.08-3.33
8 Ce 0.5000 0.3673 0.3181  7 Ge 3.08-3.31

## Properties
electronic total energy: -5.752 eV per atom
ΔE_f: -0.768 eV/atom
crystal system: orthorhombic